# Tm6Al2Rh PBE relaxed
# Energy relative to the elements (eV/atom): -0.23
data_Tm6Al2Rh
_chemical_formula_sum 'Tm12 Al4 Rh2'
_cell_length_a 4.9213
_cell_length_b 7.0038
_cell_length_c 14.5237
_cell_angle_alpha 90.00
_cell_angle_beta 90.00
_cell_angle_gamma 90.00
_symmetry_space_group_name_H-M 'I m m m'
_symmetry_Int_Tables_number 71
_symmetry_space_group_name_Hall '-I 2 2'
loop_
_atom_site_label
_atom_site_type_symbol
_atom_site_fract_x
_atom_site_fract_y
_atom_site_fract_z
Tm1 Tm 0.0000 0.2356 0.0000
Tm2 Tm 0.0000 0.2567 0.3416
Al1 Al 0.0000 0.5000 0.1676
Rh1 Rh 0.0000 0.5000 0.5000